Computed, not measured: PmSmTm after structural relaxation at the PBE level of DFT.

V: 97.46 Å³/cell
DOS at the Fermi energy: 4.386 states/eV per cell
DFT formation energy: 0.07 eV/atom

```
data_PmSmTm
_cell_length_a 3.491
_cell_length_b 5.678
_cell_length_c 5.678
_cell_angle_alpha 120.00
_cell_angle_beta 90.00
_cell_angle_gamma 90.00
_symmetry_space_group_name_H-M 'P 1'
_symmetry_Int_Tables_number 1
_symmetry_space_group_name_Hall 'P 1'
loop_
_atom_site_label
_atom_site_type_symbol
_atom_site_fract_x
_atom_site_fract_y
_atom_site_fract_z
_atom_site_occupancy
Sm1 Sm 0.667 0.667 0.333 1
Tm1 Tm 0.167 0.333 0.667 1
Pm1 Pm 0.167 0.000 0.000 1
```